(1)
The following is a DFT calculation (PBE-GGA) of an optimized crystal structure of La2TeMo.

The structure in POSCAR format:
```
La2TeMo
1.0
3.9224 0.0000 0.0000
0.0000 3.9224 0.0000
0.0000 0.0000 7.2842
La Te Mo
2 1 1
Direct
0.0000 0.0000 0.2330 La
0.0000 0.0000 0.7670 La
0.5000 0.5000 0.5000 Te
0.5000 0.5000 0.0000 Mo
```

Results
The uncorrected formation energy is -0.9 eV/f.u. As for the space-group type: No. 123.



(2)
The following is a DFT calculation (PBE-GGA) of an optimized crystal structure of La2TeMo.

The structure in POSCAR format:
```
La2TeMo
1.0
8.3907 0.0000 0.0000
0.0000 8.3907 0.0000
0.0000 0.0000 6.2722
La Te Mo
8 4 4
Direct
0.1803 0.2500 0.1250 La
0.2500 0.6803 0.3750 La
0.2500 0.8197 0.8750 La
0.3197 0.2500 0.6250 La
0.6803 0.7500 0.6250 La
0.7500 0.1803 0.8750 La
0.7500 0.3197 0.3750 La
0.8197 0.7500 0.1250 La
0.0000 0.0000 0.5000 Te
0.0000 0.5000 0.7500 Te
0.5000 0.0000 0.2500 Te
0.5000 0.5000 0.0000 Te
0.0000 0.0000 0.0000 Mo
0.0000 0.5000 0.2500 Mo
0.5000 0.0000 0.7500 Mo
0.5000 0.5000 0.5000 Mo
```

Results
The uncorrected formation energy is -0.2 eV/f.u. As for the space-group type: No. 122.



(3)
The following is a DFT calculation (PBE-GGA) of an optimized crystal structure of LaTe4Mo.

The structure in POSCAR format:
```
LaTe4Mo
1.0
0.0000 4.4971 4.4971
4.4971 0.0000 4.4971
4.4971 4.4971 0.0000
La Te Mo
1 4 1
Direct
0.0000 0.0000 0.0000 La
0.3752 0.3752 0.3752 Te
0.3752 0.3752 0.8743 Te
0.3752 0.8743 0.3752 Te
0.8743 0.3752 0.3752 Te
0.7500 0.7500 0.7500 Mo
```

Results
The uncorrected formation energy is 3.0 eV/f.u. As for the space-group type: No. 216.



(4)
The following is a DFT calculation (PBE-GGA) of an optimized crystal structure of La2TeMo.

The structure in POSCAR format:
```
La2TeMo
1.0
3.7525 0.0000 0.0000
-1.8763 3.2498 0.0000
0.0000 0.0000 28.2663
La Te Mo
6 3 3
Direct
0.0000 0.0000 0.0000 La
0.0000 0.0000 0.2269 La
0.3333 0.6667 0.6667 La
0.3333 0.6667 0.8936 La
0.6667 0.3333 0.3333 La
0.6667 0.3333 0.5603 La
0.0000 0.0000 0.4710 Te
0.3333 0.6667 0.1377 Te
0.6667 0.3333 0.8043 Te
0.0000 0.0000 0.7476 Mo
0.3333 0.6667 0.4143 Mo
0.6667 0.3333 0.0809 Mo
```

Results
The uncorrected formation energy is 0.5 eV/f.u. As for the space-group type: No. 160.



(5)
The following is a DFT calculation (PBE-GGA) of an optimized crystal structure of La2TeMo.

The structure in POSCAR format:
```
La2TeMo
1.0
7.3381 0.0000 0.0000
0.0000 7.3381 0.0000
0.0000 0.0000 7.3381
La Te Mo
8 4 4
Direct
0.0000 0.0000 0.0000 La
0.0000 0.5000 0.5000 La
0.2500 0.2500 0.2500 La
0.2500 0.7500 0.7500 La
0.5000 0.0000 0.5000 La
0.5000 0.5000 0.0000 La
0.7500 0.2500 0.7500 La
0.7500 0.7500 0.2500 La
0.0000 0.0000 0.5000 Te
0.0000 0.5000 0.0000 Te
0.5000 0.0000 0.0000 Te
0.5000 0.5000 0.5000 Te
0.2500 0.2500 0.7500 Mo
0.2500 0.7500 0.2500 Mo
0.7500 0.2500 0.2500 Mo
0.7500 0.7500 0.7500 Mo
```

Results
The uncorrected formation energy is 0.2 eV/f.u. As for the space-group type: No. 216.



(6)
The following is a DFT calculation (PBE-GGA) of an optimized crystal structure of LaTeMo.

The structure in POSCAR format:
```
LaTeMo
1.0
7.4601 0.0000 0.0000
0.0000 7.4601 0.0000
0.0000 0.0000 7.4601
La Te Mo
4 4 4
Direct
0.0000 0.0000 0.0000 La
0.0000 0.5000 0.5000 La
0.5000 0.0000 0.5000 La
0.5000 0.5000 0.0000 La
0.2500 0.2500 0.2500 Te
0.2500 0.7500 0.7500 Te
0.7500 0.2500 0.7500 Te
0.7500 0.7500 0.2500 Te
0.2500 0.2500 0.7500 Mo
0.2500 0.7500 0.2500 Mo
0.7500 0.2500 0.2500 Mo
0.7500 0.7500 0.7500 Mo
```

Results
The uncorrected formation energy is 2.3 eV/f.u. As for the space-group type: No. 216. Its energy relative to the lowest polymorph listed for this composition is 894 meV/atom.



(7)
The following is a DFT calculation (PBE-GGA) of an optimized crystal structure of La2TeMo.

The structure in POSCAR format:
```
La2TeMo
1.0
3.5650 0.0000 0.0000
0.0000 3.5650 0.0000
0.0000 0.0000 8.8988
La Te Mo
2 1 1
Direct
0.0000 0.0000 0.0000 La
0.5000 0.5000 0.3733 La
0.5000 0.5000 0.7478 Te
0.0000 0.0000 0.6079 Mo
```

Results
The uncorrected formation energy is -0.2 eV/f.u. As for the space-group type: No. 99.



(8)
The following is a DFT calculation (PBE-GGA) of an optimized crystal structure of LaTe3Mo.

The structure in POSCAR format:
```
LaTe3Mo
1.0
5.3910 0.0000 0.0000
0.0000 5.3910 0.0000
0.0000 0.0000 5.3910
La Te Mo
1 3 1
Direct
0.0000 0.0000 0.0000 La
0.0000 0.5000 0.5000 Te
0.5000 0.0000 0.5000 Te
0.5000 0.5000 0.0000 Te
0.5000 0.5000 0.5000 Mo
```

Results
The uncorrected formation energy is -1.3 eV/f.u. As for the space-group type: No. 221. Its energy relative to the lowest polymorph listed for this composition is 0 meV/atom.



(9)
The following is a DFT calculation (PBE-GGA) of an optimized crystal structure of La2TeMo.

The structure in POSCAR format:
```
La2TeMo
1.0
4.6314 0.0000 0.0000
0.0000 4.2666 0.0000
0.0000 0.0000 11.4517
La Te Mo
4 2 2
Direct
0.0000 0.0000 0.0000 La
0.0000 0.5000 0.5000 La
0.5000 0.0000 0.2835 La
0.5000 0.5000 0.7835 La
0.0000 0.0000 0.7099 Te
0.0000 0.5000 0.2099 Te
0.5000 0.0000 0.5640 Mo
0.5000 0.5000 0.0640 Mo
```

Results
The uncorrected formation energy is -1.3 eV/f.u. As for the space-group type: No. 38.



(10)
The following is a DFT calculation (PBE-GGA) of an optimized crystal structure of LaTlTe2Mo.

The structure in POSCAR format:
```
LaTlTe2Mo
1.0
5.6514 0.0000 0.0000
0.0000 5.6514 0.0000
0.0000 0.0000 5.8187
La Tl Te Mo
1 1 2 1
Direct
0.0000 0.0000 0.0000 La
0.0000 0.0000 0.5000 Tl
0.0000 0.5000 0.5000 Te
0.5000 0.0000 0.5000 Te
0.5000 0.5000 0.0000 Mo
```

Results
The uncorrected formation energy is 7.2 eV/f.u. As for the space-group type: No. 123.



(11)
The following is a DFT calculation (PBE-GGA) of an optimized crystal structure of La3TiMo.

The structure in POSCAR format:
```
La3TiMo
1.0
5.4995 0.0000 0.0000
0.0000 5.4995 0.0000
0.0000 0.0000 5.4995
La Ti Mo
3 1 1
Direct
0.0000 0.0000 0.5000 La
0.0000 0.5000 0.0000 La
0.5000 0.0000 0.0000 La
0.5000 0.5000 0.5000 Ti
0.0000 0.0000 0.0000 Mo
```

Results
The formation energy comes out at 14.6 kcal/mol of atoms. As for the space-group type: No. 221. Its energy relative to the lowest polymorph listed for this composition is 0 meV/atom.



(12)
The following is a DFT calculation (PBE-GGA) of an optimized crystal structure of LaTi2Mo2.

The structure in POSCAR format:
```
LaTi2Mo2
1.0
7.9241 0.0000 0.0000
0.0000 7.9241 0.0000
0.0000 0.0000 3.1324
La Ti Mo
2 4 4
Direct
0.0000 0.0000 0.0000 La
0.5000 0.5000 0.0000 La
0.1344 0.3656 0.5000 Ti
0.3656 0.8656 0.5000 Ti
0.6344 0.1344 0.5000 Ti
0.8656 0.6344 0.5000 Ti
0.1409 0.6409 0.0000 Mo
0.3591 0.1409 0.0000 Mo
0.6409 0.8591 0.0000 Mo
0.8591 0.3591 0.0000 Mo
```

Results
The formation energy comes out at 6.1 kcal/mol of atoms. As for the space-group type: No. 127.